No. 1
Computed, not measured: a relaxed Hg3AuS crystal at the GGA-PBE level of DFT.

Unit cell a=5.3249 b=5.3249 c=5.3249 alpha=90.00 beta=90.00 gamma=90.00
Space group Pm-3m (No. 221)
Inequivalent atoms, fractional coordinates:
Hg (0.0000, 0.0000, 0.5000)
Au (0.0000, 0.0000, 0.0000)
S (0.5000, 0.5000, 0.5000)

Values from the calculation:
The calculation puts the density of states at the Fermi level at 5.78 states/eV/f.u. Its energy relative to the lowest polymorph listed for this composition is 0 meV per atom. The crystal system is cubic.

No. 2
Computed, not measured: a relaxed Hg2AuS crystal at the GGA-PBE level of DFT.

Unit cell a=2.8952 b=2.8952 c=36.7979 alpha=90.00 beta=90.00 gamma=120.00
Space group R-3m (No. 166, hexagonal axes)
Inequivalent atoms, fractional coordinates:
Hg (0.0000, 0.0000, 0.0846)
Au (0.0000, 0.0000, 0.0000)
S (0.0000, 0.0000, 0.5000)

Values from the calculation:
The calculation puts the density of states at the Fermi level at 2.10 states/eV/f.u. The crystal system is trigonal.

No. 3
Computed, not measured: a relaxed HgAu3S crystal at the GGA-PBE level of DFT.

Unit cell a=5.1968 b=5.1968 c=5.1968 alpha=90.00 beta=90.00 gamma=90.00
Space group Pm-3m (No. 221)
Inequivalent atoms, fractional coordinates:
Hg (0.0000, 0.0000, 0.0000)
Au (0.0000, 0.0000, 0.5000)
S (0.5000, 0.5000, 0.5000)

Values from the calculation:
The calculation puts the density of states at the Fermi level at 5.46 states/eV/f.u. Its energy relative to the lowest polymorph listed for this composition is 740 meV per atom. The crystal system is cubic.

| no. | total energy (eV per atom) |
| --- | --- |
| 1 | -1.242 |
| 2 | -1.612 |
| 3 | -1.755 |